First-principles (PBE) data for a geometry-optimized ScTlCdIn structure, as listed in Alexandria via LeMat-Bulk.

Values from the calculation:
- ΔE_f: -0.211 eV/atom
- E above lowest polymorph: 0.00 eV per formula unit

Lattice parameters (Å, degrees): 4.5309 4.4369 4.5910 90.00 90.00 90.00
Last column: nearest neighbours and their distance in Å.
Positions (direct):
Sc (0.0000, 0.0000, 0.0000)  4 Tl 3.17, 4 In 3.19, 4 Cd 3.23
Cd (0.5000, 0.0000, 0.5000)  4 In 3.17, 4 Tl 3.19, 4 Sc 3.23
In (0.0000, 0.5000, 0.5000)  4 Cd 3.17, 4 Sc 3.19, 4 Tl 3.23
Tl (0.5000, 0.5000, 0.0000)  4 Sc 3.17, 4 Cd 3.19, 4 In 3.23


First-principles (PBE) data for a geometry-optimized HfAs2C2 structure, as listed in Alexandria via LeMat-Bulk.

Values from the calculation:
- ΔE_f: 0.652 eV/atom
- E above lowest polymorph: 0.00 eV per formula unit

Lattice parameters (Å, degrees): 6.6913 6.6913 3.2519 90.00 90.00 90.00
Last column: nearest neighbours and their distance in Å.
Positions (direct):
As (0.6503, 0.8497, 0.5000)  2 C 1.98
As (0.1503, 0.6503, 0.5000)  2 C 1.98
As (0.8497, 0.3497, 0.5000)  2 C 1.98
As (0.3497, 0.1503, 0.5000)  2 C 1.98
C (0.2303, 0.2697, 0.0000)  2 As 1.98
C (0.7697, 0.7303, 0.0000)  2 As 1.98
C (0.7303, 0.2303, 0.0000)  2 As 1.98
C (0.2697, 0.7697, 0.0000)  2 As 1.98
Hf (0.5000, 0.5000, 0.0000)  4 C 2.37
Hf (0.0000, 0.0000, 0.0000)  4 C 2.37


First-principles (PBE) data for a geometry-optimized ZrCuAgF6 structure, as listed in Alexandria via LeMat-Bulk.

Values from the calculation:
- E_tot: -97.1 eV for the cell shown

Lattice parameters (Å, degrees): 5.7211 5.7211 10.2954 90.00 90.00 120.00
Last column: nearest neighbours and their distance in Å.
Positions (direct):
Cu (0.6667, 0.3333, 0.7500)  6 F 2.27
Cu (0.3333, 0.6667, 0.2500)  6 F 2.27
F (0.3464, 0.3753, 0.8610)  1 Zr 2.05, 1 Cu 2.27
F (0.6247, 0.9711, 0.8610)  1 Zr 2.05, 1 Cu 2.27
F (0.0289, 0.3753, 0.6390)  1 Zr 2.05, 1 Cu 2.27
F (0.9711, 0.3464, 0.1390)  1 Zr 2.05, 1 Cu 2.27
F (0.3753, 0.3464, 0.3610)  1 Zr 2.05, 1 Cu 2.27
F (0.6536, 0.6247, 0.1390)  1 Zr 2.05, 1 Cu 2.27
F (0.3464, 0.9711, 0.6390)  1 Zr 2.05, 1 Cu 2.27
F (0.6247, 0.6536, 0.6390)  1 Zr 2.05, 1 Cu 2.27
F (0.0289, 0.6536, 0.8610)  1 Zr 2.05, 1 Cu 2.27
F (0.3753, 0.0289, 0.1390)  1 Zr 2.05, 1 Cu 2.27
F (0.6536, 0.0289, 0.3610)  1 Zr 2.05, 1 Cu 2.27
F (0.9711, 0.6247, 0.3610)  1 Zr 2.05, 1 Cu 2.27
Zr (0.3333, 0.6667, 0.7500)  6 F 2.05
Zr (0.6667, 0.3333, 0.2500)  6 F 2.05
Ag (0.0000, 0.0000, 0.0000)  6 F 2.52
Ag (0.0000, 0.0000, 0.5000)  6 F 2.52